[1]
Density functional theory data (PBE) for a relaxed PaHgPdPt crystal.

Calculated values
The formation enthalpy at 0 K is -0.570 eV per atom. For the total energy, the calculation gives -0.2142 Ha/atom. As for the space group: F-43m, No. 216. The calculation puts the density of states at the Fermi level at 2.89 states/eV/cell.

Cell and atoms, written as CIF:
```
data_PaHgPdPt
_space_group_name_H-M_alt 'P 1'
_space_group_IT_number 1
_cell_length_a 4.845
_cell_length_b 4.845
_cell_length_c 4.845
_cell_angle_alpha 60.00
_cell_angle_beta 60.00
_cell_angle_gamma 60.00
loop_
_space_group_symop_operation_xyz
'x,y,z'
loop_
_atom_site_label
_atom_site_type_symbol
_atom_site_fract_x
_atom_site_fract_y
_atom_site_fract_z
Pa1 Pa 0.000 0.000 0.000
Hg1 Hg 0.500 0.500 0.500
Pd1 Pd 0.750 0.750 0.750
Pt1 Pt 0.250 0.250 0.250
```

[2]
Density functional theory data (PBE) for a relaxed PaHgPdRu crystal.

Calculated values
The formation enthalpy at 0 K is -0.246 eV per atom. For the total energy, the calculation gives -0.2320 Ha/atom. As for the space group: F-43m, No. 216. The calculation puts the density of states at the Fermi level at 4.52 states/eV/cell.

Cell and atoms, written as CIF:
```
data_PaHgPdRu
_space_group_name_H-M_alt 'P 1'
_space_group_IT_number 1
_cell_length_a 4.777
_cell_length_b 4.777
_cell_length_c 4.777
_cell_angle_alpha 60.00
_cell_angle_beta 60.00
_cell_angle_gamma 60.00
loop_
_space_group_symop_operation_xyz
'x,y,z'
loop_
_atom_site_label
_atom_site_type_symbol
_atom_site_fract_x
_atom_site_fract_y
_atom_site_fract_z
Pd1 Pd 0.250 0.250 0.250
Pa1 Pa 0.500 0.500 0.500
Ru1 Ru 0.750 0.750 0.750
Hg1 Hg 0.000 0.000 0.000
```

[3]
Density functional theory data (PBE) for a relaxed PaHgSbPd crystal.

Calculated values
For the total energy, the calculation gives -0.1826 Ha/atom. As for the space group: F-43m, No. 216. The formation energy from raw total energies is -0.1902 eV/atom. The calculation puts the density of states at the Fermi level at 6.72 states/eV/cell.

Cell and atoms, written as CIF:
```
data_PaHgSbPd
_space_group_name_H-M_alt 'P 1'
_space_group_IT_number 1
_cell_length_a 5.050
_cell_length_b 5.050
_cell_length_c 5.050
_cell_angle_alpha 60.00
_cell_angle_beta 60.00
_cell_angle_gamma 60.00
loop_
_space_group_symop_operation_xyz
'x,y,z'
loop_
_atom_site_label
_atom_site_type_symbol
_atom_site_fract_x
_atom_site_fract_y
_atom_site_fract_z
Pd1 Pd 0.000 0.000 0.000
Sb1 Sb 0.750 0.750 0.750
Hg1 Hg 0.250 0.250 0.250
Pa1 Pa 0.500 0.500 0.500
```

[4]
Density functional theory data (PBE) for a relaxed ScPaHgPd crystal.

Calculated values
The formation enthalpy at 0 K is -0.230 eV per atom. For the total energy, the calculation gives -0.2043 Ha/atom. As for the space group: F-43m, No. 216. The calculation puts the density of states at the Fermi level at 5.80 states/eV/cell.

Cell and atoms, written as CIF:
```
data_ScPaHgPd
_space_group_name_H-M_alt 'P 1'
_space_group_IT_number 1
_cell_length_a 5.010
_cell_length_b 5.010
_cell_length_c 5.010
_cell_angle_alpha 60.00
_cell_angle_beta 60.00
_cell_angle_gamma 60.00
loop_
_space_group_symop_operation_xyz
'x,y,z'
loop_
_atom_site_label
_atom_site_type_symbol
_atom_site_fract_x
_atom_site_fract_y
_atom_site_fract_z
Sc1 Sc 0.750 0.750 0.750
Pa1 Pa 0.250 0.250 0.250
Hg1 Hg 0.500 0.500 0.500
Pd1 Pd 0.000 0.000 0.000
```